# AlAgBi2

An optimized crystal structure of AlAgBi2 (PBE, the Alexandria database).

Computed properties:
The raw total energy is -13.20 eV per formula unit. The density of states at the Fermi level comes out at 3.218 states/eV/cell. The calculation puts the formation energy from the elements at 289 meV per atom.

```
AlAgBi2
1.0
-2.863 5.982 0.534
-2.253 -1.618 6.047
2.562 4.409 5.794
Bi Ag Al
4 2 2
Cartesian
-0.007 4.936 6.840
-2.545 7.132 10.077
-1.418 4.612 2.536
-1.138 0.865 5.297
-1.429 6.286 4.809
0.000 0.000 0.000
-1.124 2.486 7.566
-2.558 2.182 3.291
```

=====

# ZnNi2Ir

An optimized crystal structure of ZnNi2Ir (PBE, the Alexandria database).

Computed properties:
The raw total energy is -21.88 eV per formula unit. The density of states at the Fermi level comes out at 5.366 states/eV/cell. The calculation puts the formation energy from the elements at -46 meV per atom.

```
ZnNi2Ir
1.0
4.991 0.004 0.005
2.380 4.388 -0.005
-3.116 -3.153 2.295
Zn Ir Ni
1 1 2
Cartesian
3.753 2.236 0.000
1.419 1.682 1.145
2.819 -0.454 1.150
7.321 4.362 0.000
```

=====

# Pa2CuBiO8

An optimized crystal structure of Pa2CuBiO8 (PBE, the Alexandria database).

Computed properties:
The raw total energy is -94.53 eV per formula unit. For the formation energy without anion corrections, the calculation gives -2325 meV per atom. The density of states at the Fermi level comes out at 6.853 states/eV/cell.

```
Pa2CuBiO8
1.0
5.415 0.000 0.000
0.000 5.415 0.000
-2.708 -2.708 5.466
O Bi Cu Pa
8 1 1 2
Cartesian
4.294 1.678 1.058
1.121 3.737 1.058
1.570 1.290 1.725
-1.029 -1.587 4.408
1.029 1.587 4.408
3.845 4.125 1.725
1.418 -1.138 3.741
-1.418 1.138 3.741
0.000 0.000 0.000
2.708 0.000 2.733
2.708 2.708 0.000
0.000 2.708 2.733
```